Compound: Ni5Mo
Source: Alexandria
Functional: GGA-PBE
Structure: relaxed

Cell: 2.5712 2.5712 10.6571 Å, 90.00 90.00 90.00°
Sites, in units of the cell vectors:
Ni (0.0000, 0.0000, 0.0000)
Ni (0.0000, 0.0000, 0.3186)
Ni (0.0000, 0.0000, 0.6814)
Ni (0.5000, 0.5000, 0.1571)
Ni (0.5000, 0.5000, 0.8429)
Mo (0.5000, 0.5000, 0.5000)

* DOS(E_F): 9.7 states/eV per cell
* energy of formation: 24 meV per atom

***

Compound: Ni2Mo
Source: Alexandria
Functional: GGA-PBE
Structure: relaxed

Cell: 4.5225 4.5225 5.0229 Å, 117.41 117.41 58.91°
Sites, in units of the cell vectors:
Ni (0.0941, 0.2353, 0.2501)
Ni (0.2353, 0.0941, 0.7501)
Ni (0.7647, 0.9059, 0.2499)
Ni (0.9059, 0.7647, 0.7499)
Mo (0.4260, 0.5740, 0.2500)
Mo (0.5740, 0.4260, 0.7500)

* DOS(E_F): 5.0 states/eV per cell
* energy of formation: -37 meV per atom
* ΔE to the lowest computed polymorph: 1.23 kcal/mol of atoms

***

Compound: NiMo
Source: Alexandria
Functional: GGA-PBE
Structure: relaxed

Cell: 3.6874 3.6874 5.2338 Å, 90.00 90.00 120.00°
Sites, in units of the cell vectors:
Ni (0.3333, 0.6667, 0.2500)
Ni (0.6667, 0.3333, 0.7500)
Mo (0.0000, 0.0000, 0.0000)
Mo (0.0000, 0.0000, 0.5000)

* DOS(E_F): 4.8 states/eV per cell
* energy of formation: 747 meV per atom

***

Compound: NiMo
Source: Alexandria
Functional: GGA-PBE
Structure: relaxed

Cell: 7.4185 7.4185 7.4185 Å, 91.66 91.66 160.41°
Sites, in units of the cell vectors:
Ni (0.1488, 0.2128, 0.3616)
Ni (0.2128, 0.8512, 0.0640)
Ni (0.7872, 0.1488, 0.9360)
Ni (0.8512, 0.7872, 0.6384)
Mo (0.0682, 0.6593, 0.7275)
Mo (0.3407, 0.0682, 0.4089)
Mo (0.6593, 0.9318, 0.5911)
Mo (0.9318, 0.3407, 0.2725)

* DOS(E_F): 6.1 states/eV per cell
* energy of formation: 595 meV per atom

***

Compound: NiMo
Source: Alexandria
Functional: GGA-PBE
Structure: relaxed

Cell: 2.6469 4.6636 4.9951 Å, 115.81 102.71 91.56°
Sites, in units of the cell vectors:
Ni (0.1152, 0.2988, 0.2591)
Ni (0.8848, 0.7012, 0.7409)
Mo (0.4289, 0.2127, 0.7634)
Mo (0.5711, 0.7873, 0.2366)

* DOS(E_F): 4.2 states/eV per cell
* energy of formation: 61 meV per atom

***

Compound: NiMo
Source: Alexandria
Functional: GGA-PBE
Structure: relaxed

Cell: 2.5982 13.2735 4.7304 Å, 90.00 90.00 90.00°
Sites, in units of the cell vectors:
Ni (0.2500, 0.0800, 0.0932)
Ni (0.2500, 0.4200, 0.0932)
Ni (0.2500, 0.7500, 0.7128)
Ni (0.7500, 0.2500, 0.2872)
Ni (0.7500, 0.5800, 0.9068)
Ni (0.7500, 0.9200, 0.9068)
Mo (0.2500, 0.2500, 0.8174)
Mo (0.2500, 0.5865, 0.4089)
Mo (0.2500, 0.9135, 0.4089)
Mo (0.7500, 0.0865, 0.5911)
Mo (0.7500, 0.4135, 0.5911)
Mo (0.7500, 0.7500, 0.1826)

* DOS(E_F): 12.5 states/eV per cell
* energy of formation: 158 meV per atom